Pm2MgVO6 | Alexandria | PBE with a Hubbard U | optimized geometry; E_tot = -7.752 eV per atom; total magnetization = 2.0 μB/cell; ρ = 6.39 g cm⁻³
1.0
5.4643 0.0000 0.0000
0.0000 5.7055 0.0000
-5.4340 0.0000 7.6872
Pm Mg V O
4 2 2 12
Cartesian
-0.0919 0.3372 1.9140 Pm
-2.8089 2.5155 5.7576 Pm
2.8392 3.1899 1.9296 Pm
0.1222 5.3683 5.7732 Pm
-2.7170 0.0000 3.8436 Mg
0.0000 2.8527 0.0000 Mg
2.7321 0.0000 0.0000 V
0.0152 2.8527 3.8436 V
-4.3011 1.1282 7.3079 O
-1.5842 1.7246 3.4643 O
-3.7753 4.0480 7.2729 O
-1.0583 4.5102 3.4293 O
-2.1871 0.1607 5.8564 O
0.5299 2.6920 2.0129 O
-0.4996 3.0135 5.6743 O
2.2174 5.5447 1.8307 O
1.0886 1.1952 4.2579 O
3.8056 1.6575 0.4143 O
1.6145 3.9809 4.2229 O
4.3314 4.5773 0.3793 O